Zr4RhSe: optimized geometry, PBEsol.

Cell: 5.494 5.494 5.494 Å, 60.00 60.00 60.00°
Atoms (fractional coordinates):
1 Rh 0.750 0.750 0.750
2 Zr 0.376 0.873 0.376
3 Zr 0.376 0.376 0.873
4 Zr 0.873 0.376 0.376
5 Zr 0.376 0.376 0.376
6 Se 0.000 0.000 0.000

Properties
Formation energy from raw total energies   276.3 meV/atom
SG   F-43m, No. 216

***

RuBrN2F: optimized geometry, PBEsol.

Cell: 3.809 4.404 4.404 Å, 90.00 90.00 90.00°
Atoms (fractional coordinates):
1 N 0.000 0.500 0.000
2 N 0.000 0.000 0.500
3 Ru 0.500 0.000 0.000
4 Br 0.500 0.500 0.500
5 F 0.000 0.000 0.000

Properties
Formation energy from raw total energies   2343.1 meV/atom
SG   P4/mmm, No. 123
Relative energy among the computed polymorphs   225 meV per atom